A plane-wave DFT calculation with PBE was carried out for an optimized crystal structure of Ce2CdS4.

The structure in POSCAR format:
```
Ce2CdS4
1.0
-4.207 4.207 4.427
4.207 -4.207 4.427
4.207 4.207 -4.427
S Ce Cd
8 4 2
Cartesian
4.803 1.619 -0.548 S
3.612 -2.588 2.761 S
-0.596 2.588 3.879 S
4.803 2.588 2.761 S
1.619 3.612 0.548 S
1.619 0.596 1.665 S
6.795 -0.596 1.665 S
2.588 0.596 4.975 S
2.104 1.149 -1.107 Ce
3.058 -2.104 5.533 Ce
2.104 3.058 3.320 Ce
1.149 6.311 1.107 Ce
4.207 0.000 2.213 Cd
0.000 0.000 4.427 Cd
```

DOS at the Fermi energy	25.46	states/eV per cell
energy above the most stable polymorph in this dataset	0.007	eV/atom

---

A plane-wave DFT calculation with PBE was carried out for an optimized crystal structure of CeCdS3.

The structure in POSCAR format:
```
CeCdS3
1.0
4.275 0.000 0.000
0.000 7.056 0.000
-2.138 0.000 8.224
Cd S Ce
2 6 2
Cartesian
2.138 1.764 7.372 Cd
0.000 5.292 0.852 Cd
0.000 7.051 2.801 S
0.000 5.292 7.764 S
2.138 0.005 5.423 S
2.138 1.764 0.460 S
0.000 3.533 2.801 S
2.138 3.523 5.423 S
2.138 1.764 3.168 Ce
0.000 5.292 5.056 Ce
```

---

A plane-wave DFT calculation with PBE was carried out for an optimized crystal structure of Ce3CdSb4.

The structure in POSCAR format:
```
Ce3CdSb4
1.0
6.327 0.000 0.000
0.000 6.327 0.000
0.000 0.000 6.327
Ce Sb Cd
3 4 1
Cartesian
3.163 3.163 0.000 Ce
0.000 3.163 3.163 Ce
3.163 0.000 3.163 Ce
3.163 0.000 0.000 Sb
3.163 3.163 3.163 Sb
0.000 0.000 3.163 Sb
0.000 3.163 0.000 Sb
0.000 0.000 0.000 Cd
```

DOS at the Fermi energy	19.74	states/eV per cell

---

The records above give, respectively, ΔE_f (raw) values of -1.514; -1.232; -0.698 eV per atom.
The records above give, respectively, DFT total energy values of -5.698; -5.078; -5.099 eV/atom.